VASP calculation (PBE) on a relaxed Nb4Pt3Rh crystal. Values from VASP.

V	16.4	Å³ per atom
space group	P4/mmm, No. 123
energy relative to the elements	-601	meV/atom
magnetization	0.00	Bohr magnetons per cell
density	13.43	Mg/m³

Geometry as Quantum ESPRESSO input:
```
&SYSTEM
  ibrav = 0, nat = 8, ntyp = 3
/
ATOMIC_SPECIES
Nb 92.91 Nb.upf
Pt 195.08 Pt.upf
Rh 102.91 Rh.upf
CELL_PARAMETERS angstrom
2.8337 0.0000 0.0000
0.0000 2.8337 0.0000
0.0000 0.0000 16.3228
ATOMIC_POSITIONS crystal
Nb 0.0000 0.0000 0.1201
Nb 0.0000 0.0000 0.3735
Nb 0.0000 0.0000 0.6265
Nb 0.0000 0.0000 0.8799
Pt 0.5000 0.5000 0.2484
Pt 0.5000 0.5000 0.5000
Pt 0.5000 0.5000 0.7516
Rh 0.5000 0.5000 0.0000
```